1.
# TcAgMo | OQMD via LeMat-Bulk | PBE | relaxed
# * formation energy: 1.00 eV/atom
# * electronic total energy: -7.009 eV per atom
data_TcAgMo
_chemical_formula_sum 'Tc4 Ag4 Mo4'
_cell_length_a 6.084
_cell_length_b 6.084
_cell_length_c 6.084
_cell_angle_alpha 90.00
_cell_angle_beta 90.00
_cell_angle_gamma 90.00
_space_group_name_H-M_alt 'F -4 3 m'
_space_group_IT_number 216
_space_group_name_Hall 'F -4 2 3'
loop_
_atom_site_label
_atom_site_type_symbol
_atom_site_fract_x
_atom_site_fract_y
_atom_site_fract_z
Tc1 Tc 0.000 0.000 0.000
Ag1 Ag 0.250 0.250 0.750
Mo1 Mo 0.250 0.250 0.250



2.
# AgTe5Mo3 | OQMD via LeMat-Bulk | PBE | relaxed
# * electronic total energy: -5.445 eV per atom
data_AgTe5Mo3
_chemical_formula_sum 'Ag1 Te5 Mo3'
_cell_length_a 5.7766
_cell_length_b 5.7766
_cell_length_c 8.1447
_cell_angle_alpha 90.00
_cell_angle_beta 90.00
_cell_angle_gamma 120.00
_space_group_name_H-M_alt 'P 6/m m m'
_space_group_IT_number 191
_space_group_name_Hall '-P 6 2'
loop_
_atom_site_label
_atom_site_type_symbol
_atom_site_fract_x
_atom_site_fract_y
_atom_site_fract_z
Ag1 Ag 0.0000 0.0000 0.0000
Te1 Te 0.0000 0.0000 0.5000
Te2 Te 0.3333 0.6667 0.2262
Mo1 Mo 0.0000 0.5000 0.5000



> Among the records above, which one has the highest electronic total energy?

AgTe5Mo3